{"formula": "NaSn12Ir4", "functional": "PBE-GGA", "state": "relaxed", "lattice_angstrom": [[-4.599, 5.947, -3.399], [-0.402, -6.792, -4.666], [-2.836, -1.687, 7.562]], "species": ["Na", "Sn", "Sn", "Sn", "Sn", "Sn", "Sn", "Sn", "Sn", "Sn", "Sn", "Sn", "Sn", "Ir", "Ir", "Ir", "Ir"], "frac_coords": [[0.000, 0.000, 0.000], [0.838, 0.337, 0.175], [0.337, 0.498, 0.162], [0.825, 0.162, 0.663], [0.337, 0.175, 0.838], [0.175, 0.838, 0.337], [0.663, 0.502, 0.838], [0.498, 0.162, 0.337], [0.502, 0.838, 0.663], [0.663, 0.825, 0.162], [0.838, 0.663, 0.502], [0.162, 0.337, 0.498], [0.162, 0.663, 0.825], [0.000, 0.500, 0.000], [0.500, 0.000, 0.000], [0.500, 0.500, 0.500], [0.000, 0.000, 0.500]], "density_g_cm3": 8.513, "total_energy_ev_per_cell": -86.697, "magmom_total_mub_per_fu": 0.00, "crystal_system": "cubic"}